Material: Li2MnCoH6
Method: DFT, GGA-PBE
State: relaxed

The structure in extended XYZ format:
```
20
Lattice="4.6977 0.0000 0.0000 0.0000 6.6221 0.0000 0.0000 0.0000 4.6400" Properties=species:S:1:pos:R:3 pbc="T T T"
Li 1.1744 0.0060 1.1193
Li 1.1744 3.3051 1.1193
Li 3.5233 3.3171 3.5206
Li 3.5233 6.6161 3.5206
Mn 1.1744 1.6555 3.4265
Mn 3.5233 4.9666 1.2134
Co 1.1744 4.9666 3.5192
Co 3.5233 1.6555 1.1207
H 0.0523 4.9666 2.3922
H 0.0559 4.9666 0.0192
H 1.1744 3.3606 3.6467
H 1.1744 6.5727 3.6467
H 2.2929 4.9666 0.0192
H 2.2965 4.9666 2.3922
H 2.4012 1.6555 2.2478
H 2.4048 1.6555 4.6207
H 3.5233 0.0495 0.9932
H 3.5233 3.2616 0.9932
H 4.6418 1.6555 4.6207
H 4.6454 1.6555 2.2478
```

Computed properties:
final energy	-82.699	eV/cell

---

Material: LiPdI
Method: DFT, GGA-PBE
State: relaxed

The structure in extended XYZ format:
```
12
Lattice="9.0336 0.0000 0.0000 0.0000 3.8958 0.0000 -3.8150 0.0000 9.1290" Properties=species:S:1:pos:R:3 pbc="T T T"
Li -1.2149 0.0000 3.0971
Li 1.9167 1.9479 6.0319
Li 3.3019 1.9479 3.0971
Li 6.4335 0.0000 6.0319
Pd 0.7042 1.9479 3.7069
Pd -0.0024 0.0000 5.4220
Pd 5.2210 0.0000 3.7069
Pd 4.5144 1.9479 5.4220
I 1.4309 0.0000 1.9476
I -0.7291 1.9479 7.1814
I 5.9477 1.9479 1.9476
I 3.7877 0.0000 7.1814
```

Computed properties:
E above lowest polymorph	0.039	eV per atom
E_form (uncorrected)	-0.5182	eV/atom

---

Material: NaZn6Ga4
Method: DFT, GGA-PBE
State: relaxed

The structure in extended XYZ format:
```
11
Lattice="7.5125 0.0000 0.0000 -3.7562 6.5060 0.0000 0.0000 0.0000 4.0782" Properties=species:S:1:pos:R:3 pbc="T T T"
Na 0.0000 0.0000 0.0000
Zn 0.0000 2.6049 2.0391
Zn -1.5003 5.2035 2.0391
Zn 3.7562 0.4493 0.0000
Zn 2.2673 3.0283 0.0000
Zn 1.5003 5.2035 2.0391
Zn 5.2452 3.0283 0.0000
Ga 0.0000 4.3373 0.0000
Ga 2.2285 1.2866 2.0391
Ga 5.2840 1.2866 2.0391
Ga 3.7562 3.9327 2.0391
```

Computed properties:
energy of formation	-0.0047	eV per atom

---

Material: RbNa2PrCl6
Method: DFT, GGA-PBE
State: relaxed

The structure in extended XYZ format:
```
10
Lattice="3.6765 2.1226 6.6779 -3.6765 2.1226 6.6779 0.0000 -4.2453 6.6779" Properties=species:S:1:pos:R:3 pbc="T T T"
Rb 0.0000 0.0000 0.0000
Na 0.0000 0.0000 5.6329
Na 0.0000 0.0000 15.9018
Pr 0.0000 0.0000 9.6170
Cl -2.0236 -0.4392 7.7381
Cl -1.2761 -2.0993 10.9120
Cl 1.3921 -1.5329 7.7381
Cl -1.1800 2.1548 10.9120
Cl 0.6314 1.9721 7.7381
Cl 2.4561 -0.0554 10.9120
```

Computed properties:
E_form (uncorrected)	-2.0307	eV/atom

---

Material: SrAlBi2I
Method: DFT, GGA-PBE
State: relaxed

The structure in extended XYZ format:
```
5
Lattice="5.4429 0.0000 0.0000 0.0000 5.4429 0.0000 0.0000 0.0000 6.1239" Properties=species:S:1:pos:R:3 pbc="T T T"
Sr 0.0000 0.0000 0.0000
Al 2.7214 2.7214 3.0620
Bi 0.0000 2.7214 3.0620
Bi 2.7214 0.0000 3.0620
I 2.7214 2.7214 0.0000
```

Computed properties:
E_form (uncorrected)	-0.1799	eV/atom

---

Material: Cs3Rb8Se
Method: DFT, GGA-PBE
State: relaxed

The structure in extended XYZ format:
```
24
Lattice="15.1548 0.0000 0.0000 -7.5774 13.1245 0.0000 0.0000 0.0000 10.2104" Properties=species:S:1:pos:R:3 pbc="T T T"
Cs 0.0000 3.9646 0.0000
Cs -4.1440 11.1422 0.0000
Cs 3.4334 1.9823 5.1052
Cs 4.1440 11.1422 0.0000
Cs 11.7214 1.9823 5.1052
Cs 7.5774 9.1599 5.1052
Rb 0.0000 0.0000 2.5563
Rb 0.0000 0.0000 7.6614
Rb -3.0254 7.0029 7.5303
Rb 0.0000 6.0640 4.6214
Rb -2.3258 10.0924 4.6214
Rb 0.0000 8.7496 0.1040
Rb 5.2516 3.0320 9.7266
Rb 3.0254 7.0029 7.5303
Rb 0.0000 12.2431 7.5303
Rb 7.5774 0.8814 2.4251
Rb 4.5520 6.1215 2.4251
Rb 2.3258 10.0924 4.6214
Rb 7.5774 4.3748 5.2092
Rb 9.9032 3.0320 9.7266
Rb 7.5774 7.0604 9.7266
Rb 10.6028 6.1215 2.4251
Se 0.0000 8.7496 6.8488
Se 7.5774 4.3748 1.7436
```

Computed properties:
E_form (uncorrected)	-0.2092	eV/atom

---

Material: AgPt2W
Method: DFT, GGA-PBE
State: relaxed

The structure in extended XYZ format:
```
8
Lattice="9.1882 0.0000 0.0000 0.0000 2.7892 0.0000 -0.8073 0.0000 5.0083" Properties=species:S:1:pos:R:3 pbc="T T T"
Ag 0.0000 0.0000 0.0000
Ag 4.5941 1.3946 0.0000
Pt 1.6551 0.0000 3.6921
Pt 2.1317 1.3946 1.3161
Pt 6.2492 1.3946 3.6921
Pt 6.7258 0.0000 1.3161
W -0.4037 1.3946 2.5041
W 4.1904 0.0000 2.5041
```

Computed properties:
E above lowest polymorph	0.284	eV per atom
energy of formation	0.0780	eV per atom

---

Material: TbEr8Sc4
Method: DFT, GGA-PBE
State: relaxed

The structure in extended XYZ format:
```
13
Lattice="3.5109 2.0270 8.8661 -3.5109 2.0270 8.8661 0.0000 -4.0540 8.8661" Properties=species:S:1:pos:R:3 pbc="T T T"
Tb 0.0000 0.0000 0.0000
Er 0.0000 -1.8373 10.7316
Er -1.5912 0.9187 10.7316
Er 0.0000 0.0000 7.5458
Er -1.5912 -0.9187 15.8668
Er 1.5912 0.9187 10.7316
Er 0.0000 0.0000 19.0526
Er 1.5912 -0.9187 15.8668
Er 0.0000 1.8373 15.8668
Sc -3.5109 0.0000 13.2992
Sc -1.7554 1.0135 4.4331
Sc 1.7554 1.0135 4.4331
Sc 0.0000 0.0000 13.2992
```

Computed properties:
energy of formation	0.2615	eV per atom

---

Material: K2TlSi
Method: DFT, GGA-PBE
State: relaxed

The structure in extended XYZ format:
```
8
Lattice="5.0640 0.0000 0.0000 0.0000 5.0640 0.0000 0.0000 0.0000 10.1180" Properties=species:S:1:pos:R:3 pbc="T T T"
K 0.0000 2.5320 2.5295
K 0.0000 2.5320 7.5885
K 2.5320 0.0000 2.5295
K 2.5320 0.0000 7.5885
Tl 0.0000 0.0000 0.0000
Tl 2.5320 2.5320 5.0590
Si 0.0000 0.0000 5.0590
Si 2.5320 2.5320 0.0000
```

Computed properties:
E above lowest polymorph	0.215	eV per atom
E_form (uncorrected)	0.3241	eV/atom

---

Material: Nd2SbAu
Method: DFT, GGA-PBE
State: relaxed

The structure in extended XYZ format:
```
4
Lattice="5.2523 0.0000 0.0000 0.0000 5.2523 0.0000 0.0000 0.0000 3.9937" Properties=species:S:1:pos:R:3 pbc="T T T"
Nd 0.0000 2.6262 0.0000
Nd 2.6262 0.0000 0.0000
Sb 0.0000 0.0000 1.9968
Au 2.6262 2.6262 1.9968
```

Computed properties:
E_form (uncorrected)	-0.8419	eV/atom

---

Material: Sc4Mn3
Method: DFT, GGA-PBE
State: relaxed

The structure in extended XYZ format:
```
7
Lattice="4.9058 0.0000 0.0000 -2.4529 4.2486 0.0000 0.0000 0.0000 5.6953" Properties=species:S:1:pos:R:3 pbc="T T T"
Sc 0.0000 0.0000 1.3766
Sc 0.0000 0.0000 4.3188
Sc 0.0000 2.8324 2.8477
Sc 2.4529 1.4162 2.8477
Mn -1.2265 2.1243 0.0000
Mn 2.4529 0.0000 0.0000
Mn 1.2265 2.1243 0.0000
```

Computed properties:
E above lowest polymorph	0.090	eV per atom
energy of formation	0.1463	eV per atom

---

Material: Ce2Pm3PuSe6
Method: DFT, GGA-PBE
State: relaxed

The structure in extended XYZ format:
```
12
Lattice="3.6213 -6.2761 0.0000 3.6213 6.2761 0.0000 -2.4125 0.0000 6.8683" Properties=species:S:1:pos:R:3 pbc="T T T"
Ce 3.6213 4.1877 0.0000
Ce 3.6213 -4.1877 0.0000
Pm -1.2062 0.0000 3.4342
Pm 2.4150 2.0954 3.4342
Pm 2.4150 -2.0954 3.4342
Pu 3.6213 0.0000 0.0000
Se 0.0119 2.0755 5.1612
Se 1.2292 0.0000 1.7099
Se 0.0119 -2.0755 5.1612
Se 4.8182 2.0755 1.7071
Se 3.6009 0.0000 5.1585
Se 4.8182 -2.0755 1.7071
```

Computed properties:
E_form (uncorrected)	-1.7940	eV/atom